1.
DFT (GGA-PBE) results for a geometry-optimized FeRhBr2 structure.

Cell and atoms, written as extended XYZ:
```
4
Lattice="1.6230 -3.1255 0.0000 1.6230 3.1255 0.0000 0.0000 0.0000 8.0790" Properties=species:S:1:pos:R:3 pbc="T T T"
Fe 0.0000 0.0000 0.0000
Rh 0.0000 0.0000 4.0395
Br 1.6230 0.0000 1.9314
Br 1.6230 0.0000 6.1476
```

energy relative to the elements, uncorrected	0.540	eV/atom
polymorph energy (0 for the lowest one)	566	meV per atom
DOS at the Fermi energy	3.81	states/eV/cell

=====

2.
DFT (GGA-PBE) results for a geometry-optimized Fe2RhBr structure.

Cell and atoms, written as extended XYZ:
```
4
Lattice="0.0000 3.1135 3.1135 3.1135 0.0000 3.1135 3.1135 3.1135 0.0000" Properties=species:S:1:pos:R:3 pbc="T T T"
Fe 1.5568 1.5568 1.5568
Fe 4.6703 4.6703 4.6703
Rh 0.0000 0.0000 0.0000
Br 3.1135 3.1135 3.1135
```

energy relative to the elements, uncorrected	0.684	eV/atom
polymorph energy (0 for the lowest one)	402	meV per atom
DOS at the Fermi energy	5.74	states/eV/cell

=====

3.
DFT (GGA-PBE) results for a geometry-optimized FeRhBr structure.

Cell and atoms, written as extended XYZ:
```
3
Lattice="0.0000 3.0476 3.0476 3.0476 0.0000 3.0476 3.0476 3.0476 0.0000" Properties=species:S:1:pos:R:3 pbc="T T T"
Fe 0.0000 0.0000 0.0000
Rh 1.5238 1.5238 1.5238
Br 3.0476 3.0476 3.0476
```

energy relative to the elements, uncorrected	0.578	eV/atom
polymorph energy (0 for the lowest one)	279	meV per atom
DOS at the Fermi energy	2.99	states/eV/cell

=====

4.
DFT (GGA-PBE) results for a geometry-optimized Fe2RhBr2 structure.

Cell and atoms, written as extended XYZ:
```
5
Lattice="-1.7280 1.7280 7.1523 1.7280 -1.7280 7.1523 1.7280 1.7280 -7.1523" Properties=species:S:1:pos:R:3 pbc="T T T"
Fe 1.7280 0.0000 3.5762
Fe 0.0000 1.7280 3.5762
Rh 0.0000 0.0000 0.0000
Br 0.0000 0.0000 5.5206
Br 0.0000 0.0000 8.7841
```

energy relative to the elements, uncorrected	0.681	eV/atom
polymorph energy (0 for the lowest one)	0	meV per atom
DOS at the Fermi energy	3.84	states/eV/cell

=====

5.
DFT (GGA-PBE) results for a geometry-optimized FeRhBr2 structure.

Cell and atoms, written as extended XYZ:
```
4
Lattice="0.0000 3.2183 3.2183 3.2183 0.0000 3.2183 3.2183 3.2183 0.0000" Properties=species:S:1:pos:R:3 pbc="T T T"
Fe 0.0000 0.0000 0.0000
Rh 3.2183 3.2183 3.2183
Br 1.6091 1.6091 1.6091
Br 4.8274 4.8274 4.8274
```

energy relative to the elements, uncorrected	0.896	eV/atom
polymorph energy (0 for the lowest one)	923	meV per atom
DOS at the Fermi energy	8.69	states/eV/cell

=====

6.
DFT (GGA-PBE) results for a geometry-optimized Fe2RhBr structure.

Cell and atoms, written as extended XYZ:
```
4
Lattice="2.6634 -3.8158 0.0000 2.6634 3.8158 0.0000 0.0000 0.0000 2.9868" Properties=species:S:1:pos:R:3 pbc="T T T"
Fe 1.3317 1.9079 0.0000
Fe 1.3317 -1.9079 0.0000
Rh 0.0000 0.0000 1.4934
Br 2.6634 0.0000 1.4934
```

energy relative to the elements, uncorrected	0.559	eV/atom
polymorph energy (0 for the lowest one)	277	meV per atom
DOS at the Fermi energy	4.48	states/eV/cell

=====

7.
DFT (GGA-PBE) results for a geometry-optimized FeRhBr2 structure.

Cell and atoms, written as extended XYZ:
```
4
Lattice="3.2483 0.0000 0.0000 0.0000 4.0701 0.0000 0.0000 0.0000 6.0399" Properties=species:S:1:pos:R:3 pbc="T T T"
Fe 0.0000 0.0000 0.0000
Rh 1.6241 0.0000 3.0200
Br 0.0000 2.0351 3.0200
Br 1.6241 2.0351 0.0000
```

energy relative to the elements, uncorrected	0.544	eV/atom
polymorph energy (0 for the lowest one)	570	meV per atom
DOS at the Fermi energy	4.09	states/eV/cell

=====

8.
DFT (GGA-PBE) results for a geometry-optimized FeRhBr2 structure.

Cell and atoms, written as extended XYZ:
```
4
Lattice="4.6261 0.0000 0.0000 0.0000 4.6261 0.0000 0.0000 0.0000 3.3097" Properties=species:S:1:pos:R:3 pbc="T T T"
Fe 0.0000 0.0000 0.0000
Rh 2.3130 2.3130 0.0000
Br 0.0000 2.3130 1.6548
Br 2.3130 0.0000 1.6548
```

energy relative to the elements, uncorrected	0.614	eV/atom
polymorph energy (0 for the lowest one)	640	meV per atom
DOS at the Fermi energy	5.50	states/eV/cell

=====

9.
DFT (GGA-PBE) results for a geometry-optimized FeRhBr2 structure.

Cell and atoms, written as extended XYZ:
```
4
Lattice="1.6796 0.9697 7.5570 -1.6796 0.9697 7.5570 0.0000 -1.9394 7.5570" Properties=species:S:1:pos:R:3 pbc="T T T"
Fe 0.0000 0.0000 0.0000
Rh 0.0000 0.0000 11.3355
Br 0.0000 0.0000 5.8160
Br 0.0000 0.0000 16.8550
```

energy relative to the elements, uncorrected	0.450	eV/atom
polymorph energy (0 for the lowest one)	476	meV per atom
DOS at the Fermi energy	4.23	states/eV/cell

=====

10.
DFT (GGA-PBE) results for a geometry-optimized FeRhBr structure.

Cell and atoms, written as extended XYZ:
```
3
Lattice="3.3488 0.0000 0.0000 -1.6744 2.9001 0.0000 0.0000 0.0000 5.5734" Properties=species:S:1:pos:R:3 pbc="T T T"
Fe 0.0000 0.0000 0.0000
Rh 1.6744 0.9667 1.4523
Br 0.0000 1.9334 3.6758
```

energy relative to the elements, uncorrected	0.299	eV/atom
polymorph energy (0 for the lowest one)	0	meV per atom
DOS at the Fermi energy	2.27	states/eV/cell

=====

11.
DFT (GGA-PBE) results for a geometry-optimized FeRhBr2 structure.

Cell and atoms, written as extended XYZ:
```
4
Lattice="1.9118 -2.9416 0.0000 1.9118 2.9416 0.0000 0.0000 0.0000 8.2004" Properties=species:S:1:pos:R:3 pbc="T T T"
Fe 0.0000 0.0000 0.0000
Rh 1.9118 0.0000 6.8469
Br 0.0000 0.0000 5.1115
Br 1.9118 0.0000 1.6260
```

energy relative to the elements, uncorrected	0.168	eV/atom
polymorph energy (0 for the lowest one)	194	meV per atom
DOS at the Fermi energy	1.73	states/eV/cell

=====

12.
DFT (GGA-PBE) results for a geometry-optimized FeRhBr2 structure.

Cell and atoms, written as extended XYZ:
```
4
Lattice="3.6373 0.0000 0.0000 0.0000 3.5573 0.0000 -0.2368 0.0000 7.3075" Properties=species:S:1:pos:R:3 pbc="T T T"
Fe 0.0000 0.0000 0.0000
Rh 1.6722 1.7786 0.6949
Br 0.5578 1.7786 5.6144
Br 2.5629 0.0000 2.3595
```

energy relative to the elements, uncorrected	0.040	eV/atom
polymorph energy (0 for the lowest one)	66	meV per atom
DOS at the Fermi energy	3.40	states/eV/cell